{
  "formula": "ScMn",
  "functional": "PBE-GGA",
  "state": "relaxed",
  "lattice": [[10.541, 0.000, 0.000], [0.000, 3.092, 0.000], [-2.178, 0.000, 6.362]],
  "species": ["Sc", "Sc", "Sc", "Sc", "Sc", "Sc", "Mn", "Mn", "Mn", "Mn", "Mn", "Mn"],
  "fractional_positions": [[0.000, 0.000, 0.000], [0.001, 0.000, 0.467], [0.207, 0.500, 0.837], [0.500, 0.500, 0.000], [0.501, 0.500, 0.467], [0.707, 0.000, 0.837], [0.179, 0.500, 0.318], [0.309, 0.000, 0.187], [0.312, 0.000, 0.591], [0.679, 0.000, 0.318], [0.809, 0.500, 0.187], [0.812, 0.500, 0.591]],
  "dft_energy_ev_per_cell": -91.828,
  "crystal_system": "monoclinic",
  "delta_e_f_mev_per_atom": 98,
  "space_group": "Cm, No. 8"
}